# 1
{"formula": "ZnPSeO2", "functional": "PBE-GGA", "state": "relaxed", "lattice": [[-0.423, -2.888, 2.227], [-0.470, -2.180, -2.917], [6.761, -1.162, -0.222]], "species": ["P", "Zn", "O", "O", "Se"], "frac_coords": [[0.000, 0.000, 0.500], [0.000, 0.000, 0.000], [0.000, 0.500, 0.000], [0.500, 0.000, 0.000], [0.500, 0.500, 0.500]], "energy_ha_per_atom": -0.1389, "formation_energy_uncorrected_ev_per_atom": 0.238, "de_polymorph_mev_per_atom": 170}

***

# 2
{"formula": "In2SnIr", "functional": "PBE-GGA", "state": "relaxed", "lattice": [[3.971, -0.168, 0.000], [-1.794, 4.879, 0.000], [0.000, 0.000, 9.088]], "species": ["In", "In", "In", "In", "Sn", "Sn", "Ir", "Ir"], "frac_coords": [[0.140, 0.281, 0.452], [0.860, 0.719, 0.548], [0.860, 0.719, 0.952], [0.140, 0.281, 0.048], [0.430, 0.860, 0.250], [0.570, 0.140, 0.750], [0.724, 0.448, 0.250], [0.276, 0.552, 0.750]], "energy_ha_per_atom": -0.1727, "e_form_ev_per_fu": -0.46}

***

# 3
{"formula": "DyPuZnCd", "functional": "PBE-GGA", "state": "relaxed", "lattice": [[5.198, 0.000, 0.000], [2.599, 4.501, 0.000], [2.599, 1.500, 4.244]], "species": ["Cd", "Zn", "Dy", "Pu"], "frac_coords": [[0.750, 0.750, 0.750], [0.250, 0.250, 0.250], [0.500, 0.500, 0.500], [0.000, 0.000, 0.000]], "energy_ha_per_atom": -0.1984, "e_form_ev_per_fu": -0.47}

***

# 4
{"formula": "Sc2CoAs", "functional": "PBE-GGA", "state": "relaxed", "lattice": [[-2.469, 1.387, -1.312], [0.538, -1.553, -2.654], [-4.324, -5.488, 2.335]], "species": ["As", "Co", "Sc", "Sc"], "frac_coords": [[0.000, 0.000, 0.556], [0.500, 0.500, 0.702], [0.000, 0.000, 0.945], [0.500, 0.500, 0.297]], "energy_ha_per_atom": -0.2354, "e_form_ev_per_fu": -1.20}

***

# 5
{"formula": "AgBIr3", "functional": "PBE-GGA", "state": "relaxed", "lattice": [[-4.030, -1.350, -2.246], [1.940, -4.307, -0.893], [-1.762, -1.655, 4.156]], "species": ["B", "Ir", "Ir", "Ir", "Ag"], "frac_coords": [[0.500, 0.500, 0.500], [0.000, 0.500, 0.000], [0.000, 0.000, 0.500], [0.500, 0.000, 0.000], [0.000, 0.000, 0.000]], "energy_ha_per_atom": -0.1441, "e_form_ev_per_fu": 16.50}

***

# 6
{"formula": "LiHoTm", "functional": "PBE-GGA", "state": "relaxed", "lattice": [[3.430, 0.000, 0.000], [-1.715, 2.970, 0.000], [0.000, 0.000, 8.251]], "species": ["Tm", "Ho", "Li"], "frac_coords": [[0.667, 0.333, 0.331], [0.333, 0.667, 0.668], [0.000, 0.000, 0.001]], "energy_ha_per_atom": -0.1300, "e_form_ev_per_fu": 0.35, "de_polymorph_mev_per_atom": 57}